# Rb2CeMoO6 PBE+U relaxed
# SG ... No. 225
# DFT total energy ... -66.8 eV for the cell shown
data_Rb2CeMoO6
_chemical_formula_sum 'Rb2 Ce1 Mo1 O6'
_symmetry_space_group_name_H-M 'P 1'
_symmetry_Int_Tables_number 1
_symmetry_space_group_name_Hall 'P 1'
_cell_length_a 6.010
_cell_length_b 6.010
_cell_length_c 6.010
_cell_angle_alpha 60.00
_cell_angle_beta 60.00
_cell_angle_gamma 60.00
loop_
_atom_site_label
_atom_site_fract_x
_atom_site_fract_y
_atom_site_fract_z
Rb1 0.250 0.250 0.250
Rb2 0.750 0.750 0.750
Ce1 0.000 0.000 0.000
Mo1 0.500 0.500 0.500
O1 0.269 0.269 0.731
O2 0.269 0.731 0.269
O3 0.269 0.731 0.731
O4 0.731 0.269 0.269
O5 0.731 0.269 0.731
O6 0.731 0.731 0.269